(P)
Crystalline Cr2Ni5Rh2 at its relaxed geometry, computed with PBE.

Cell: 4.4309 4.4430 5.6806 Å, 74.83 82.26 81.05°
Fractional coordinates of all 9 atoms:
Cr  0.1096  0.0553  0.2781
Cr  0.8904  0.9447  0.7219
Ni  0.0000  0.5000  0.5000
Ni  0.2225  0.5988  0.0621
Ni  0.4367  0.7229  0.6100
Ni  0.5633  0.2771  0.3900
Ni  0.7775  0.4012  0.9379
Rh  0.3213  0.1609  0.8300
Rh  0.6787  0.8391  0.1700

Calculated density (g cm⁻³): 9.44
Symmetry: P-1, No. 2
Fermi-level density of states (states/eV/cell): 14.0

(Q)
Crystalline Cr2Ni5Rh2 at its relaxed geometry, computed with PBE.

Cell: 5.7489 5.7489 5.7733 Å, 107.23 107.23 36.19°
Fractional coordinates of all 9 atoms:
Cr  0.0598  0.0598  0.3326
Cr  0.9402  0.9402  0.6674
Ni  0.1653  0.1653  0.0107
Ni  0.2815  0.2815  0.6658
Ni  0.5000  0.5000  0.0000
Ni  0.7185  0.7185  0.3342
Ni  0.8347  0.8347  0.9893
Rh  0.3895  0.3895  0.3281
Rh  0.6105  0.6105  0.6719

Calculated density (g cm⁻³): 9.36
Symmetry: C2/m, No. 12
Fermi-level density of states (states/eV/cell): 11.6

Least stable of them? (P).